# PrIrNO

PrIrNO after structural relaxation (PBE, OQMD).

Output
SG: P4/nmm (129)
Energy above the lowest structure with this stoichiometry in meV per atom: 857
Crystal system: tetragonal

Structure (POSCAR):
```
PrIrNO
1.0
5.035 0.000 0.000
0.000 5.035 0.000
0.000 0.000 4.475
Pr Ir N O
2 2 2 2
direct
0.250 0.750 0.000
0.750 0.250 0.000
0.250 0.250 0.496
0.750 0.750 0.504
0.250 0.250 0.994
0.750 0.750 0.006
0.250 0.750 0.500
0.750 0.250 0.500
```

---

# Ga20TeMo4

Ga20TeMo4 after structural relaxation (PBE, OQMD).

Output
SG: I4/m (87)
Crystal system: tetragonal

Structure (POSCAR):
```
Ga20TeMo4
1.0
-6.512 6.512 2.661
6.512 -6.512 2.661
6.512 6.512 -2.661
Ga Te Mo
20 1 4
direct
0.000 0.000 0.500
0.000 0.500 0.000
0.056 0.214 0.271
0.116 0.815 0.431
0.185 0.616 0.301
0.214 0.944 0.158
0.315 0.884 0.699
0.361 0.427 0.788
0.384 0.685 0.569
0.427 0.639 0.065
0.500 0.000 0.000
0.500 0.500 0.500
0.573 0.361 0.935
0.616 0.315 0.431
0.639 0.573 0.212
0.685 0.116 0.301
0.786 0.056 0.842
0.815 0.384 0.699
0.884 0.185 0.569
0.944 0.786 0.729
0.000 0.000 0.000
0.234 0.581 0.815
0.419 0.234 0.653
0.581 0.766 0.347
0.766 0.419 0.185
```

---

| no. | electronic total energy (eV per atom) | V (Å³/f.u.) |
| --- | --- | --- |
| 1 | -7.209 | 57 |
| 2 | -4.446 | 451 |